1.
A plane-wave DFT calculation with meta-GGA SCAN was carried out for ZrSbPb2 at its PBEsol-relaxed geometry.

POSCAR file:
```
ZrSbPb2
1.0
-2.1915 2.1915 5.2910
2.1915 -2.1915 5.2910
2.1915 2.1915 -5.2910
Zr Sb Pb
1 1 2
direct
0.0000 0.0000 0.0000
0.5000 0.5000 0.0000
0.2500 0.7500 0.5000
0.7500 0.2500 0.5000
```

D(E_F) (states/eV/f.u.): 2.659
Total energy (eV/atom): -54.9422
Total magnetization (μB/cell): 0.00

---

2.
A plane-wave DFT calculation with meta-GGA SCAN was carried out for ZrSbPb2 at its PBEsol-relaxed geometry.

POSCAR file:
```
ZrSbPb2
1.0
0.0000 3.7254 3.7254
3.7254 0.0000 3.7254
3.7254 3.7254 0.0000
Zr Sb Pb
1 1 2
direct
0.0000 0.0000 0.0000
0.2500 0.2500 0.2500
0.5000 0.5000 0.5000
0.7500 0.7500 0.7500
```

D(E_F) (states/eV/f.u.): 3.061
Total energy (eV/atom): -54.7608
Total magnetization (μB/cell): 0.00

---

3.
A plane-wave DFT calculation with meta-GGA SCAN was carried out for ZrSbPb3 at its PBEsol-relaxed geometry.

POSCAR file:
```
ZrSbPb3
1.0
5.5759 0.0000 0.0000
0.0000 5.5759 0.0000
0.0000 0.0000 5.5759
Zr Sb Pb
1 1 3
direct
0.0000 0.0000 0.0000
0.5000 0.5000 0.5000
0.0000 0.0000 0.5000
0.0000 0.5000 0.0000
0.5000 0.0000 0.0000
```

D(E_F) (states/eV/f.u.): 3.782
Total energy (eV/atom): -58.5826
Total magnetization (μB/cell): 0.00

---

4.
A plane-wave DFT calculation with meta-GGA SCAN was carried out for Sc8Pb at its PBEsol-relaxed geometry.

POSCAR file:
```
Sc8Pb
1.0
-4.8705 4.8705 2.2015
4.8705 -4.8705 2.2015
4.8705 4.8705 -2.2015
Sc Pb
8 1
direct
0.0000 0.3366 0.3366
0.0000 0.6634 0.6634
0.3356 0.3356 0.6712
0.3356 0.6644 0.0000
0.3366 0.0000 0.3366
0.6634 0.0000 0.6634
0.6644 0.3356 0.0000
0.6644 0.6644 0.3288
0.0000 0.0000 0.0000
```

D(E_F) (states/eV/f.u.): 14.106
Total energy (eV/atom): -21.2117
Total magnetization (μB/cell): 0.01

---

5.
A plane-wave DFT calculation with meta-GGA SCAN was carried out for Sc4Pb at its PBEsol-relaxed geometry.

POSCAR file:
```
Sc4Pb
1.0
-2.0187 2.0187 7.5665
2.0187 -2.0187 7.5665
2.0187 2.0187 -7.5665
Sc Pb
4 1
direct
0.0886 0.0886 0.0000
0.2500 0.7500 0.5000
0.7500 0.2500 0.5000
0.9114 0.9114 0.0000
0.5000 0.5000 0.0000
```

D(E_F) (states/eV/f.u.): 6.303
Total energy (eV/atom): -26.3222
Offset from the most stable computed form (meV per atom): 516
Total magnetization (μB/cell): 0.00

---

6.
A plane-wave DFT calculation with meta-GGA SCAN was carried out for Sc2Pb at its PBEsol-relaxed geometry.

POSCAR file:
```
Sc2Pb
1.0
6.2602 0.0000 0.0000
0.0000 4.5925 0.0000
0.0000 0.0000 9.5376
Sc Pb
8 4
direct
0.0861 0.2500 0.2110
0.1573 0.2500 0.5472
0.3427 0.7500 0.0472
0.4139 0.7500 0.7110
0.5861 0.2500 0.2890
0.6573 0.2500 0.9528
0.8427 0.7500 0.4528
0.9139 0.7500 0.7890
0.1839 0.2500 0.8733
0.3161 0.7500 0.3733
0.6839 0.2500 0.6267
0.8161 0.7500 0.1267
```

D(E_F) (states/eV/f.u.): 1.994
Total energy (eV/atom): -35.3323
Total magnetization (μB/cell): 0.02

---

7.
A plane-wave DFT calculation with meta-GGA SCAN was carried out for ScPb5 at its PBEsol-relaxed geometry.

POSCAR file:
```
ScPb5
1.0
3.4244 0.0000 0.0000
0.0000 3.4244 0.0000
0.0000 0.0000 14.2473
Sc Pb
1 5
direct
0.0000 0.0000 0.0000
0.0000 0.0000 0.3238
0.0000 0.0000 0.6762
0.5000 0.5000 0.1442
0.5000 0.5000 0.5000
0.5000 0.5000 0.8558
```

D(E_F) (states/eV/f.u.): 3.924
Total energy (eV/atom): -65.6481
Offset from the most stable computed form (meV per atom): 0
Total magnetization (μB/cell): 0.00

---

8.
A plane-wave DFT calculation with meta-GGA SCAN was carried out for Sc2Pb at its PBEsol-relaxed geometry.

POSCAR file:
```
Sc2Pb
1.0
2.0454 -7.4322 0.0000
2.0454 7.4322 0.0000
0.0000 0.0000 4.4921
Sc Pb
4 2
direct
0.0784 0.9216 0.7500
0.2512 0.7488 0.2500
0.7488 0.2512 0.7500
0.9216 0.0784 0.2500
0.4012 0.5988 0.7500
0.5988 0.4012 0.2500
```

D(E_F) (states/eV/f.u.): 1.948
Total energy (eV/atom): -35.2923
Total magnetization (μB/cell): 0.01

---

9.
A plane-wave DFT calculation with meta-GGA SCAN was carried out for Sc4Pb at its PBEsol-relaxed geometry.

POSCAR file:
```
Sc4Pb
1.0
-3.3062 3.3062 3.3062
3.3062 -3.3062 3.3062
3.3062 3.3062 -3.3062
Sc Pb
4 1
direct
0.0000 0.0000 0.5000
0.0000 0.5000 0.0000
0.5000 0.0000 0.0000
0.5000 0.5000 0.5000
0.0000 0.0000 0.0000
```

D(E_F) (states/eV/f.u.): 7.696
Total energy (eV/atom): -26.2298
Offset from the most stable computed form (meV per atom): 608
Total magnetization (μB/cell): 3.83

---

10.
A plane-wave DFT calculation with meta-GGA SCAN was carried out for ScPb2 at its PBEsol-relaxed geometry.

POSCAR file:
```
ScPb2
1.0
-1.8839 1.8839 5.3449
1.8839 -1.8839 5.3449
1.8839 1.8839 -5.3449
Sc Pb
1 2
direct
0.0000 0.0000 0.0000
0.3421 0.3421 0.0000
0.6579 0.6579 0.0000
```

D(E_F) (states/eV/f.u.): 2.807
Total energy (eV/atom): -55.5193
Total magnetization (μB/cell): 0.00

---

11.
A plane-wave DFT calculation with meta-GGA SCAN was carried out for Sc2Pb3 at its PBEsol-relaxed geometry.

POSCAR file:
```
Sc2Pb3
1.0
5.0208 0.0000 0.0000
-2.5104 4.3482 0.0000
0.0000 0.0000 6.1487
Sc Pb
2 3
direct
0.3333 0.6667 0.3710
0.6667 0.3333 0.6290
0.0000 0.0000 0.5000
0.3333 0.6667 0.8736
0.6667 0.3333 0.1264
```

D(E_F) (states/eV/f.u.): 3.016
Total energy (eV/atom): -51.5625
Total magnetization (μB/cell): 0.00

---

12.
A plane-wave DFT calculation with meta-GGA SCAN was carried out for Sc6Pb5 at its PBEsol-relaxed geometry.

POSCAR file:
```
Sc6Pb5
1.0
-4.4413 9.5669 3.0586
4.4413 -9.5669 3.0586
4.4413 9.5669 -3.0586
Sc Pb
12 10
direct
0.0550 0.2500 0.8050
0.0611 0.2355 0.2966
0.1426 0.6114 0.7540
0.3574 0.1114 0.4687
0.4389 0.7355 0.1744
0.4450 0.2500 0.1950
0.5550 0.7500 0.8050
0.5611 0.2645 0.8256
0.6427 0.8886 0.5313
0.8574 0.3886 0.2460
0.9389 0.7645 0.7034
0.9450 0.7500 0.1950
0.0740 0.8989 0.9729
0.2075 0.3021 0.5096
0.2500 0.7500 0.5000
0.2925 0.8021 0.0947
0.4260 0.3989 0.8249
0.5740 0.6011 0.1751
0.7075 0.1979 0.9053
0.7500 0.2500 0.5000
0.7925 0.6979 0.4904
0.9260 0.1011 0.0271
```

D(E_F) (states/eV/f.u.): 7.978
Total energy (eV/atom): -42.8982
Total magnetization (μB/cell): 0.00

---

13.
A plane-wave DFT calculation with meta-GGA SCAN was carried out for Sc5Pb4 at its PBEsol-relaxed geometry.

POSCAR file:
```
Sc5Pb4
1.0
8.8385 0.0000 0.0000
-4.4193 7.6544 0.0000
0.0000 0.0000 6.1965
Sc Pb
10 8
direct
0.0000 0.2744 0.2500
0.0000 0.7256 0.7500
0.2744 0.0000 0.2500
0.2744 0.2744 0.7500
0.3333 0.6667 0.0000
0.3333 0.6667 0.5000
0.6667 0.3333 0.0000
0.6667 0.3333 0.5000
0.7256 0.0000 0.7500
0.7256 0.7256 0.2500
0.0000 0.0000 0.0000
0.0000 0.0000 0.5000
0.0000 0.3875 0.7500
0.0000 0.6125 0.2500
0.3875 0.0000 0.7500
0.3875 0.3875 0.2500
0.6125 0.0000 0.2500
0.6125 0.6125 0.7500
```

D(E_F) (states/eV/f.u.): 7.872
Total energy (eV/atom): -42.2341
Total magnetization (μB/cell): 0.00

---

14.
A plane-wave DFT calculation with meta-GGA SCAN was carried out for Sc2Pb at its PBEsol-relaxed geometry.

POSCAR file:
```
Sc2Pb
1.0
-3.4705 3.4705 3.0447
3.4705 -3.4705 3.0447
3.4705 3.4705 -3.0447
Sc Pb
4 2
direct
0.1591 0.6591 0.8181
0.3409 0.1591 0.5000
0.6591 0.8409 0.5000
0.8409 0.3409 0.1819
0.2500 0.2500 0.0000
0.7500 0.7500 0.0000
```

D(E_F) (states/eV/f.u.): 2.790
Total energy (eV/atom): -35.1517
Total magnetization (μB/cell): 3.34